Entry 1:
# FeCoTe2 (PBE-GGA, optimized geometry)
# E, eV/cell: -21.71
# ΔE_f (raw), kcal/mol of atoms: 0.82
data_FeCoTe2
_chemical_formula_sum 'Fe1 Co1 Te2'
_cell_length_a 3.8780
_cell_length_b 3.8780
_cell_length_c 5.3408
_cell_angle_alpha 90.00
_cell_angle_beta 90.00
_cell_angle_gamma 120.00
_symmetry_space_group_name_H-M 'P -3 m 1'
_symmetry_Int_Tables_number 164
_symmetry_space_group_name_Hall '-P 3 2"'
loop_
_atom_site_label
_atom_site_type_symbol
_atom_site_fract_x
_atom_site_fract_y
_atom_site_fract_z
Fe1 Fe 0.0000 0.0000 0.0000
Co1 Co 0.0000 0.0000 0.5000
Te1 Te 0.3333 0.6667 0.2470

Entry 2:
# FeCo2Te (PBE-GGA, optimized geometry)
# E, eV/cell: -24.47
# ΔE_f (raw), kcal/mol of atoms: 7.78
data_FeCo2Te
_chemical_formula_sum 'Fe1 Co2 Te1'
_cell_length_a 3.323
_cell_length_b 3.323
_cell_length_c 5.162
_cell_angle_alpha 90.00
_cell_angle_beta 90.00
_cell_angle_gamma 90.00
_symmetry_space_group_name_H-M 'P 4 m m'
_symmetry_Int_Tables_number 99
loop_
_symmetry_equiv_pos_as_xyz
'x,y,z'
'-y,x,z'
'-x,-y,z'
'y,-x,z'
'-x,y,z'
'y,x,z'
'x,-y,z'
'-y,-x,z'
loop_
_atom_site_label
_atom_site_type_symbol
_atom_site_fract_x
_atom_site_fract_y
_atom_site_fract_z
Fe1 Fe 0.000 0.000 0.000
Co1 Co 0.000 0.000 0.538
Co2 Co 0.500 0.500 0.819
Te1 Te 0.500 0.500 0.323

Entry 3:
# FeCo2Te (PBE-GGA, optimized geometry)
# E, eV/cell: -47.82
# ΔE_f (raw), kcal/mol of atoms: 10.98
data_FeCo2Te
_chemical_formula_sum 'Fe2 Co4 Te2'
_cell_length_a 5.252
_cell_length_b 8.487
_cell_length_c 2.981
_cell_angle_alpha 90.00
_cell_angle_beta 120.16
_cell_angle_gamma 90.00
_symmetry_space_group_name_H-M 'C 1 2/m 1'
_symmetry_Int_Tables_number 12
loop_
_symmetry_equiv_pos_as_xyz
'x,y,z'
'-x,-y,-z'
'-x,y,-z'
'x,-y,z'
'x+1/2,y+1/2,z'
'-x+1/2,-y+1/2,-z'
'-x+1/2,y+1/2,-z'
'x+1/2,-y+1/2,z'
loop_
_atom_site_label
_atom_site_type_symbol
_atom_site_fract_x
_atom_site_fract_y
_atom_site_fract_z
Fe1 Fe 0.000 0.000 0.000
Co1 Co 0.250 0.250 0.500
Te1 Te 0.000 0.500 0.000

Entry 4:
# FeCoTe3 (PBE-GGA, optimized geometry)
# E, eV/cell: -20.24
# ΔE_f (raw), kcal/mol of atoms: 21.92
data_FeCoTe3
_chemical_formula_sum 'Fe1 Co1 Te3'
_cell_length_a 4.978
_cell_length_b 4.978
_cell_length_c 4.978
_cell_angle_alpha 90.00
_cell_angle_beta 90.00
_cell_angle_gamma 90.00
_symmetry_space_group_name_H-M 'P m -3 m'
_symmetry_Int_Tables_number 221
_symmetry_space_group_name_Hall '-P 4 2 3'
loop_
_atom_site_label
_atom_site_type_symbol
_atom_site_fract_x
_atom_site_fract_y
_atom_site_fract_z
Fe1 Fe 0.000 0.000 0.000
Co1 Co 0.500 0.500 0.500
Te1 Te 0.000 0.000 0.500